Entry 1:
A geometry-optimized TiBe5Pd structure, computed with PBE.

Unit cell a=4.2653 b=7.2650 c=9.1154 alpha=90.00 beta=90.00 gamma=90.00
Closest atoms and distances in Å follow each position.
Fractional positions:
Ti 0.2500 0.2401 0.9343  12 Be 2.55-2.81, 1 Pd 2.85
Ti 0.7500 0.2599 0.4343  12 Be 2.55-2.81, 1 Pd 2.85
Ti 0.2500 0.7401 0.5657  12 Be 2.55-2.81, 1 Pd 2.85
Ti 0.7500 0.7599 0.0657  12 Be 2.55-2.81, 1 Pd 2.85
Be 0.2500 0.5782 0.0157  5 Be 2.13-2.24
Be 0.7500 0.9218 0.5157  5 Be 2.13-2.24
Be 0.2500 0.0782 0.4843  5 Be 2.13-2.24
Be 0.7500 0.4218 0.9843  5 Be 2.13-2.24
Be 0.7500 0.3018 0.7576  7 Be 2.17-2.28
Be 0.2500 0.1982 0.2576  7 Be 2.17-2.28
Be 0.7500 0.8018 0.7424  7 Be 2.17-2.28
Be 0.2500 0.6982 0.2424  7 Be 2.17-2.28
Be 0.2500 0.9619 0.1063  4 Be 2.17-2.28, 1 Pd 2.33
Be 0.7500 0.5381 0.6063  4 Be 2.17-2.28, 1 Pd 2.33
Be 0.2500 0.4619 0.3937  4 Be 2.17-2.28, 1 Pd 2.33
Be 0.7500 0.0381 0.8937  4 Be 2.17-2.28, 1 Pd 2.33
Be 0.9964 0.4409 0.1874  7 Be 2.10-2.22
Be 0.0036 0.0591 0.6874  7 Be 2.10-2.22
Be 0.5036 0.9409 0.3126  7 Be 2.10-2.22
Be 0.4964 0.5591 0.8126  7 Be 2.10-2.22
Be 0.0036 0.5591 0.8126  7 Be 2.10-2.22
Be 0.9964 0.9409 0.3126  7 Be 2.10-2.22
Be 0.4964 0.0591 0.6874  7 Be 2.10-2.22
Be 0.5036 0.4409 0.1874  7 Be 2.10-2.22
Pd 0.2500 0.8558 0.8646  10 Be 2.33-2.52
Pd 0.7500 0.6442 0.3646  10 Be 2.33-2.52
Pd 0.2500 0.3558 0.6354  10 Be 2.33-2.52
Pd 0.7500 0.1442 0.1354  10 Be 2.33-2.52

Calculated values
* DFT formation energy: -34.1 kJ/mol of atoms
* M_tot: 0.00 μB/cell


Entry 2:
A geometry-optimized KLi2H3 structure, computed with PBE.

Unit cell a=3.2488 b=3.2488 c=7.3142 alpha=90.00 beta=90.00 gamma=90.00
Closest atoms and distances in Å follow each position.
Fractional positions:
K 0.5000 0.5000 0.5000  8 H 2.81
Li 0.5000 0.0000 0.1258  4 H 1.87-1.98
Li 0.0000 0.5000 0.8742  4 H 1.87-1.98
H 0.0000 0.0000 0.2795  2 Li 1.98
H 0.0000 0.0000 0.7205  2 Li 1.98
H 0.5000 0.5000 0.0000  4 Li 1.87

Calculated values
* E: -16.559 eV per cell
* M_tot: 0.00 μB/cell